DFT (PBE) results for a geometry-optimized SmEr2PaS4 structure.

Cell lengths 6.740, 3.862, 6.835 Å; angles 90.00, 108.84, 90.00 degrees
Space group P2/m (No. 10)
Unique sites:
Sm  0.000  0.000  0.000 [1 per cell]
Er  0.000  0.500  0.500 [1 per cell]
Er  0.500  0.000  0.500 [1 per cell]
Pa  0.500  0.500  0.000 [1 per cell]
S  0.250  0.000  0.741 [2 per cell]
S  0.257  0.500  0.261 [2 per cell]

Values from the calculation:
Raw formation energy   -1.87 eV per atom
Spin magnetization   0.00 μB per cell
Raw total energy   -6.848 eV per atom

=====

DFT (PBE) results for a geometry-optimized Sm2ErPaS4 structure.

Cell lengths 6.830, 3.914, 6.853 Å; angles 90.00, 109.02, 90.00 degrees
Space group P2/m (No. 10)
Unique sites:
Sm  0.000  0.000  0.000 [1 per cell]
Sm  0.000  0.500  0.500 [1 per cell]
Er  0.500  0.000  0.500 [1 per cell]
Pa  0.500  0.500  0.000 [1 per cell]
S  0.258  0.000  0.750 [2 per cell]
S  0.262  0.500  0.256 [2 per cell]

Values from the calculation:
Raw formation energy   -1.88 eV per atom
Spin magnetization   0.00 μB per cell
Raw total energy   -6.884 eV per atom

=====

DFT (PBE) results for a geometry-optimized TbEr2PaS4 structure.

Cell lengths 6.725, 3.851, 6.770 Å; angles 90.00, 108.96, 90.00 degrees
Space group P2/m (No. 10)
Unique sites:
Tb  0.000  0.000  0.000 [1 per cell]
Er  0.000  0.500  0.500 [1 per cell]
Er  0.500  0.000  0.500 [1 per cell]
Pa  0.500  0.500  0.000 [1 per cell]
S  0.247  0.000  0.743 [2 per cell]
S  0.252  0.500  0.256 [2 per cell]

Values from the calculation:
Raw formation energy   -1.86 eV per atom
Spin magnetization   0.00 μB per cell
Raw total energy   -6.834 eV per atom

=====

DFT (PBE) results for a geometry-optimized TbErPa2S4 structure.

Cell lengths 6.559, 3.782, 7.060 Å; angles 90.00, 108.01, 90.00 degrees
Space group P2/m (No. 10)
Unique sites:
Tb  0.000  0.000  0.000 [1 per cell]
Er  0.500  0.500  0.000 [1 per cell]
Pa  0.000  0.500  0.500 [1 per cell]
Pa  0.500  0.000  0.500 [1 per cell]
S  0.250  0.500  0.244 [2 per cell]
S  0.255  0.000  0.758 [2 per cell]

Values from the calculation:
Raw formation energy   -1.77 eV per atom
Spin magnetization   0.00 μB per cell
Raw total energy   -7.356 eV per atom

=====

DFT (PBE) results for a geometry-optimized Tb2ErPaS4 structure.

Cell lengths 6.757, 3.873, 6.785 Å; angles 90.00, 109.03, 90.00 degrees
Space group P2/m (No. 10)
Unique sites:
Tb  0.000  0.000  0.000 [1 per cell]
Tb  0.000  0.500  0.500 [1 per cell]
Er  0.500  0.000  0.500 [1 per cell]
Pa  0.500  0.500  0.000 [1 per cell]
S  0.251  0.000  0.747 [2 per cell]
S  0.254  0.500  0.254 [2 per cell]

Values from the calculation:
Raw formation energy   -1.88 eV per atom
Spin magnetization   0.00 μB per cell
Raw total energy   -6.855 eV per atom

=====

DFT (PBE) results for a geometry-optimized Er3PaTl3S8 structure.

Cell lengths 7.9907, 7.9907, 22.8307 Å; angles 90.00, 90.00, 120.00 degrees
Space group R-3m (No. 166, hexagonal axes)
Unique sites:
Er  0.0000  0.5000  0.0000 [9 per cell]
Pa  0.0000  0.0000  0.0000 [3 per cell]
Tl  0.0000  0.5000  0.5000 [9 per cell]
S  0.0000  0.0000  0.2691 [6 per cell]
S  0.0014  0.5007  0.7309 [18 per cell]

Values from the calculation:
Raw formation energy   -1.51 eV per atom
Spin magnetization   3.11 μB per cell
Raw total energy   -5.730 eV per atom

=====

DFT (PBE) results for a geometry-optimized ErTm2PaS4 structure.

Cell lengths 6.697, 3.823, 6.712 Å; angles 90.00, 108.92, 90.00 degrees
Space group P2/m (No. 10)
Unique sites:
Er  0.000  0.000  0.000 [1 per cell]
Tm  0.000  0.500  0.500 [1 per cell]
Tm  0.500  0.000  0.500 [1 per cell]
Pa  0.500  0.500  0.000 [1 per cell]
S  0.244  0.000  0.743 [2 per cell]
S  0.249  0.500  0.254 [2 per cell]

Values from the calculation:
Raw formation energy   -1.84 eV per atom
Spin magnetization   0.00 μB per cell
Raw total energy   -6.777 eV per atom

=====

DFT (PBE) results for a geometry-optimized YErPa2S4 structure.

Cell lengths 6.550, 3.777, 7.064 Å; angles 90.00, 107.98, 90.00 degrees
Space group P2/m (No. 10)
Unique sites:
Y  0.000  0.000  0.000 [1 per cell]
Er  0.500  0.500  0.000 [1 per cell]
Pa  0.000  0.500  0.500 [1 per cell]
Pa  0.500  0.000  0.500 [1 per cell]
S  0.250  0.500  0.243 [2 per cell]
S  0.255  0.000  0.759 [2 per cell]

Values from the calculation:
Raw formation energy   -1.77 eV per atom
Spin magnetization   0.00 μB per cell
Raw total energy   -7.582 eV per atom

=====

DFT (PBE) results for a geometry-optimized ErPa2Sb structure.

Cell lengths 4.448, 4.448, 5.065 Å; angles 90.00, 90.00, 90.00 degrees
Space group P4/mmm (No. 123)
Unique sites:
Er  0.000  0.000  0.000 [1 per cell]
Pa  0.000  0.500  0.500 [2 per cell]
Sb  0.500  0.500  0.000 [1 per cell]

Values from the calculation:
Raw formation energy   -0.28 eV per atom
Spin magnetization   0.25 μB per cell
Raw total energy   -7.203 eV per atom
Energy above the most stable polymorph in this dataset   0 meV per atom

=====

DFT (PBE) results for a geometry-optimized Er2PaSb structure.

Cell lengths 3.4732, 3.4732, 31.3468 Å; angles 90.00, 90.00, 120.00 degrees
Space group R-3m (No. 166, hexagonal axes)
Unique sites:
Er  0.0000  0.0000  0.2464 [6 per cell]
Pa  0.0000  0.0000  0.0000 [3 per cell]
Sb  0.0000  0.0000  0.5000 [3 per cell]

Values from the calculation:
Raw formation energy   -0.18 eV per atom
Spin magnetization   0.00 μB per cell
Raw total energy   -5.869 eV per atom
Energy above the most stable polymorph in this dataset   127 meV per atom

=====

DFT (PBE) results for a geometry-optimized ErPaSb2 structure.

Cell lengths 4.2862, 4.2862, 22.4228 Å; angles 90.00, 90.00, 120.00 degrees
Space group R3m (No. 160, hexagonal axes)
Unique sites:
Er  0.0000  0.0000  0.0000 [3 per cell]
Pa  0.0000  0.0000  0.1734 [3 per cell]
Sb  0.0000  0.0000  0.5873 [3 per cell]
Sb  0.0000  0.0000  0.7542 [3 per cell]

Values from the calculation:
Raw formation energy   -0.65 eV per atom
Spin magnetization   2.00 μB per cell
Raw total energy   -6.223 eV per atom
Energy above the most stable polymorph in this dataset   102 meV per atom

=====

DFT (PBE) results for a geometry-optimized ErPaSb2 structure.

Cell lengths 5.255, 5.255, 3.797 Å; angles 90.00, 90.00, 90.00 degrees
Space group P4/mmm (No. 123)
Unique sites:
Er  0.000  0.000  0.000 [1 per cell]
Pa  0.500  0.500  0.000 [1 per cell]
Sb  0.000  0.500  0.500 [2 per cell]

Values from the calculation:
Raw formation energy   -0.61 eV per atom
Spin magnetization   1.24 μB per cell
Raw total energy   -6.182 eV per atom
Energy above the most stable polymorph in this dataset   142 meV per atom

=====

DFT (PBE) results for a geometry-optimized Er2PaSb structure.

Cell lengths 3.828, 3.828, 7.240 Å; angles 90.00, 90.00, 90.00 degrees
Space group P4/mmm (No. 123)
Unique sites:
Er  0.000  0.000  0.228 [2 per cell]
Pa  0.500  0.500  0.500 [1 per cell]
Sb  0.500  0.500  0.000 [1 per cell]

Values from the calculation:
Raw formation energy   -0.31 eV per atom
Spin magnetization   0.00 μB per cell
Raw total energy   -5.996 eV per atom
Energy above the most stable polymorph in this dataset   0 meV per atom

=====

DFT (PBE) results for a geometry-optimized ErPa3Sb4 structure.

Cell lengths 7.574, 8.722, 7.539 Å; angles 90.00, 109.47, 90.00 degrees
Space group P2/c (No. 13)
Unique sites:
Er  0.000  0.123  0.250 [2 per cell]
Pa  0.000  0.375  0.750 [2 per cell]
Pa  0.500  0.126  0.750 [2 per cell]
Pa  0.500  0.377  0.250 [2 per cell]
Sb  0.247  0.372  0.497 [4 per cell]
Sb  0.248  0.124  0.000 [4 per cell]

Values from the calculation:
Raw formation energy   -0.59 eV per atom
Spin magnetization   4.17 μB per cell
Raw total energy   -6.778 eV per atom

=====

DFT (PBE) results for a geometry-optimized ErPaSb2 structure.

Cell lengths 8.725, 17.440, 7.541 Å; angles 90.00, 125.13, 90.00 degrees
Space group C2/c (No. 15)
Unique sites:
Er  0.000  0.063  0.250 [4 per cell]
Er  0.000  0.188  0.750 [4 per cell]
Pa  0.000  0.313  0.250 [4 per cell]
Pa  0.000  0.438  0.750 [4 per cell]
Sb  0.245  0.063  0.748 [8 per cell]
Sb  0.249  0.188  0.248 [8 per cell]

Values from the calculation:
Raw formation energy   -0.75 eV per atom
Spin magnetization   7.85 μB per cell
Raw total energy   -6.324 eV per atom
Energy above the most stable polymorph in this dataset   0 meV per atom

=====

DFT (PBE) results for a geometry-optimized ErPaSb2 structure.

Cell lengths 4.3522, 4.3522, 21.4920 Å; angles 90.00, 90.00, 120.00 degrees
Space group R-3m (No. 166, hexagonal axes)
Unique sites:
Er  0.0000  0.0000  0.0000 [3 per cell]
Pa  0.0000  0.0000  0.5000 [3 per cell]
Sb  0.0000  0.0000  0.2515 [6 per cell]

Values from the calculation:
Raw formation energy   -0.75 eV per atom
Spin magnetization   3.21 μB per cell
Raw total energy   -6.323 eV per atom
Energy above the most stable polymorph in this dataset   1 meV per atom

=====

DFT (PBE) results for a geometry-optimized ErPa2Sb structure.

Cell lengths 3.2541, 3.2541, 36.2857 Å; angles 90.00, 90.00, 120.00 degrees
Space group R-3m (No. 166, hexagonal axes)
Unique sites:
Er  0.0000  0.0000  0.0000 [3 per cell]
Pa  0.0000  0.0000  0.4137 [6 per cell]
Sb  0.0000  0.0000  0.5000 [3 per cell]

Values from the calculation:
Raw formation energy   0.24 eV per atom
Spin magnetization   0.01 μB per cell
Raw total energy   -6.679 eV per atom
Energy above the most stable polymorph in this dataset   524 meV per atom

=====

DFT (PBE) results for a geometry-optimized ErPa2Sb3 structure.

Cell lengths 7.543, 13.074, 7.584 Å; angles 90.00, 109.39, 90.00 degrees
Space group C2/m (No. 12)
Unique sites:
Er  0.000  0.167  0.000 [4 per cell]
Pa  0.000  0.000  0.500 [2 per cell]
Pa  0.000  0.335  0.500 [4 per cell]
Pa  0.000  0.500  0.000 [2 per cell]
Sb  0.245  0.000  0.245 [4 per cell]
Sb  0.250  0.168  0.753 [8 per cell]

Values from the calculation:
Raw formation energy   -0.64 eV per atom
Spin magnetization   7.17 μB per cell
Raw total energy   -6.624 eV per atom

=====

DFT (PBE) results for a geometry-optimized Er2PaSb structure.

Cell lengths 4.794, 4.794, 4.510 Å; angles 90.00, 90.00, 90.00 degrees
Space group P4/mmm (No. 123)
Unique sites:
Er  0.000  0.500  0.000 [2 per cell]
Pa  0.000  0.000  0.500 [1 per cell]
Sb  0.500  0.500  0.500 [1 per cell]

Values from the calculation:
Raw formation energy   -0.28 eV per atom
Spin magnetization   0.00 μB per cell
Raw total energy   -5.963 eV per atom
Energy above the most stable polymorph in this dataset   33 meV per atom

=====

DFT (PBE) results for a geometry-optimized ErScPa2Sb4 structure.

Cell lengths 7.473, 4.317, 7.495 Å; angles 90.00, 109.45, 90.00 degrees
Space group P2/m (No. 10)
Unique sites:
Er  0.000  0.000  0.000 [1 per cell]
Sc  0.500  0.500  0.000 [1 per cell]
Pa  0.000  0.500  0.500 [1 per cell]
Pa  0.500  0.000  0.500 [1 per cell]
Sb  0.252  0.500  0.241 [2 per cell]
Sb  0.260  0.000  0.763 [2 per cell]

Values from the calculation:
Raw formation energy   -0.71 eV per atom
Spin magnetization   2.01 μB per cell
Raw total energy   -6.502 eV per atom